! AlMoIO2 GGA+U relaxed; values from VASP
&SYSTEM
  ibrav = 0, nat = 5, ntyp = 4
/
ATOMIC_SPECIES
Mo 95.94 Mo.upf
O 16.00 O.upf
Al 26.98 Al.upf
I 126.90 I.upf
CELL_PARAMETERS angstrom
-2.0604 0.2419 -3.4536
-1.0997 -3.8565 0.3860
-5.8016 2.0149 3.6022
ATOMIC_POSITIONS crystal
Mo 0.0000 0.0000 0.0000
O 0.0000 0.5000 0.0000
O 0.5000 0.0000 0.0000
Al 0.5000 0.5000 0.5000
I 0.0000 0.0000 0.5000
! **Theoretical density**: 4.0 g/cm³
! **Total DFT energy (no corrections)**: -0.36429 Ry per atom
! **Polymorph energy (0 for the lowest one)**: 56.3 meV/atom